Computed, not measured: an optimized crystal structure of AsWSe at the PBE level of DFT.

CIF file:
```
data_AsWSe
_cell_length_a 7.942
_cell_length_b 7.712
_cell_length_c 2.987
_cell_angle_alpha 83.36
_cell_angle_beta 74.70
_cell_angle_gamma 21.94
_space_group_name_H-M_alt 'P 1'
_space_group_IT_number 1
loop_
_space_group_symop_operation_xyz
'x,y,z'
loop_
_atom_site_label
_atom_site_fract_x
_atom_site_fract_y
_atom_site_fract_z
As1 0.000 0.000 0.000
W1 0.368 0.368 0.632
Se1 0.735 0.735 0.265
```

- formation energy from raw total energies (eV/f.u.) = 1.06
- polymorph energy (0 for the lowest one) (eV per atom) = 0.4747
- space-group type = Fmm2, No. 42